Record 1
First-principles (SCAN) data for ScHg3Os at its PBEsol-relaxed geometry, as listed in Alexandria via LeMat-Bulk.

Cell and atoms, written as POSCAR:
```
ScHg3Os
1.0
5.193 0.000 0.000
0.000 5.193 0.000
0.000 0.000 5.193
Hg Sc Os
3 1 1
direct
0.000 0.500 0.000
0.000 0.000 0.500
0.500 0.000 0.000
0.000 0.000 0.000
0.500 0.500 0.500
```

Properties
Calculated density = 9.93 g cm⁻³
DOS(E_F) = 0.84 states/eV/atom
Spin magnetization = 0.3562 μB per atom
Symmetry = Pm-3m, No. 221
V = 28.00 Å³ per atom
Crystal system = cubic
Total energy = -282.64 eV/cell

---

Record 2
First-principles (SCAN) data for Mg2BePb at its PBEsol-relaxed geometry, as listed in Alexandria via LeMat-Bulk.

Cell and atoms, written as POSCAR:
```
Mg2BePb
1.0
3.219 0.000 0.000
0.000 4.050 0.000
0.000 0.000 6.268
Pb Mg Be
1 2 1
direct
0.000 0.000 0.516
0.500 0.500 0.232
0.000 0.000 0.972
0.500 0.500 0.780
```

Properties
Calculated density = 5.38 g cm⁻³
DOS(E_F) = 0.38 states/eV/atom
Spin magnetization = 0.0000 μB per atom
Symmetry = Pmm2, No. 25
V = 20.43 Å³ per atom
Crystal system = orthorhombic
Total energy = -89.05 eV/cell

---

Record 3
First-principles (SCAN) data for LiYTl4 at its PBEsol-relaxed geometry, as listed in Alexandria via LeMat-Bulk.

Cell and atoms, written as POSCAR:
```
LiYTl4
1.0
-3.049 5.052 1.720
-2.408 0.364 5.643
2.458 3.809 4.150
Tl Li Y
4 1 1
direct
0.375 0.375 0.375
0.375 0.875 0.375
0.375 0.375 0.875
0.875 0.375 0.375
0.000 0.000 0.000
0.750 0.750 0.750
```

Properties
Calculated density = 9.24 g cm⁻³
DOS(E_F) = 0.46 states/eV/atom
Spin magnetization = 0.0000 μB per atom
Symmetry = F-43m, No. 216
V = 27.36 Å³ per atom
Crystal system = cubic
Total energy = -319.90 eV/cell